MgZnOsF2: relaxed, GGA-PBE.

## Properties
space group	P4/mmm
size of the total moment	0.000	μB/atom

Cell lengths 4.0629, 4.0629, 5.4299 Å; angles 90.00, 90.00, 90.00 degrees
Last column: nearest neighbours and their distance in Å.
Fractional coordinates of all 5 atoms:
Mg1 0.0000 0.0000 0.0000  2 Os 2.71, 4 Zn 2.87
Zn1 0.5000 0.5000 0.0000  4 Mg 2.87
Os1 0.0000 0.0000 0.5000  4 F 2.03
F1 0.0000 0.5000 0.5000  2 Os 2.03
F2 0.5000 0.0000 0.5000  2 Os 2.03

MgP2F: relaxed, GGA-PBE.

## Properties
offset from the most stable computed form	0	meV/atom
space group	I-42d
size of the total moment	0.000	μB/atom

Cell lengths 11.3684, 11.3684, 11.3684 Å; angles 163.50, 163.50, 23.41 degrees
Last column: nearest neighbours and their distance in Å.
Fractional coordinates of all 8 atoms:
Mg1 0.0000 0.0000 0.0000  4 F 2.31
Mg2 0.7500 0.2500 0.5000  4 F 2.31
P1 0.1247 0.6250 0.9997  4 P 2.31
P2 0.3750 0.3747 0.4997  4 P 2.31
P3 0.6253 0.1250 0.0003  4 P 2.31
P4 0.8750 0.8753 0.5003  4 P 2.31
F1 0.2500 0.7500 0.5000  4 Mg 2.31
F2 0.5000 0.5000 0.0000  4 Mg 2.31

MgP3F: relaxed, GGA-PBE.

## Properties
offset from the most stable computed form	459	meV/atom
space group	Pm-3m
size of the total moment	0.000	μB/atom

Cell lengths 4.7360, 4.7360, 4.7360 Å; angles 90.00, 90.00, 90.00 degrees
Last column: nearest neighbours and their distance in Å.
Fractional coordinates of all 5 atoms:
Mg1 0.0000 0.0000 0.0000  6 P 2.37
P1 0.0000 0.0000 0.5000  2 Mg 2.37
P2 0.0000 0.5000 0.0000  2 Mg 2.37
P3 0.5000 0.0000 0.0000  2 Mg 2.37
F1 0.5000 0.5000 0.5000  12 P 3.35

Mg2PF: relaxed, GGA-PBE.

## Properties
offset from the most stable computed form	0	meV/atom
space group	I-42d
size of the total moment	0.000	μB/atom

Cell lengths 6.8491, 6.8491, 6.8491 Å; angles 136.01, 136.01, 63.97 degrees
Last column: nearest neighbours and their distance in Å.
Fractional coordinates of all 8 atoms:
Mg1 0.0845 0.6250 0.9595  2 F 2.22, 2 P 2.44
Mg2 0.3750 0.3345 0.4595  2 F 2.22, 2 P 2.44
Mg3 0.6655 0.1250 0.0405  2 F 2.22, 2 P 2.44
Mg4 0.8750 0.9155 0.5405  2 F 2.22, 2 P 2.44
P1 0.2500 0.7500 0.5000  4 Mg 2.44
P2 0.5000 0.5000 0.0000  4 Mg 2.44
F1 0.0000 0.0000 0.0000  4 Mg 2.22
F2 0.7500 0.2500 0.5000  4 Mg 2.22

Mg2PF: relaxed, GGA-PBE.

## Properties
offset from the most stable computed form	98	meV/atom
space group	Fm-3m
size of the total moment	0.000	μB/atom

Cell lengths 4.3937, 4.3937, 4.3937 Å; angles 60.00, 60.00, 60.00 degrees
Last column: nearest neighbours and their distance in Å.
Fractional coordinates of all 4 atoms:
Mg1 0.2500 0.2500 0.2500  4 F 2.69, 4 P 2.69
Mg2 0.7500 0.7500 0.7500  4 F 2.69, 4 P 2.69
P1 0.0000 0.0000 0.0000  8 Mg 2.69
F1 0.5000 0.5000 0.5000  8 Mg 2.69

MgPF3: relaxed, GGA-PBE.

## Properties
offset from the most stable computed form	0	meV/atom
space group	Pm-3m
size of the total moment	0.400	μB/atom

Cell lengths 4.0207, 4.0207, 4.0207 Å; angles 90.00, 90.00, 90.00 degrees
Last column: nearest neighbours and their distance in Å.
Fractional coordinates of all 5 atoms:
Mg1 0.0000 0.0000 0.0000  6 F 2.01
P1 0.5000 0.5000 0.5000  12 F 2.84
F1 0.0000 0.0000 0.5000  2 Mg 2.01
F2 0.0000 0.5000 0.0000  2 Mg 2.01
F3 0.5000 0.0000 0.0000  2 Mg 2.01

MgP2F: relaxed, GGA-PBE.

## Properties
offset from the most stable computed form	835	meV/atom
space group	Fm-3m
size of the total moment	0.000	μB/atom

Cell lengths 4.3825, 4.3825, 4.3825 Å; angles 60.00, 60.00, 60.00 degrees
Last column: nearest neighbours and their distance in Å.
Fractional coordinates of all 4 atoms:
Mg1 0.0000 0.0000 0.0000  8 P 2.68
P1 0.2500 0.2500 0.2500  4 F 2.68, 4 Mg 2.68
P2 0.7500 0.7500 0.7500  4 F 2.68, 4 Mg 2.68
F1 0.5000 0.5000 0.5000  8 P 2.68

MgPF3: relaxed, GGA-PBE.

## Properties
offset from the most stable computed form	700	meV/atom
space group	Pm-3m
size of the total moment	0.000	μB/atom

Cell lengths 4.2792, 4.2792, 4.2792 Å; angles 90.00, 90.00, 90.00 degrees
Last column: nearest neighbours and their distance in Å.
Fractional coordinates of all 5 atoms:
Mg1 0.0000 0.0000 0.0000  12 F 3.03
P1 0.5000 0.5000 0.5000  6 F 2.14
F1 0.0000 0.5000 0.5000  2 P 2.14
F2 0.5000 0.0000 0.5000  2 P 2.14
F3 0.5000 0.5000 0.0000  2 P 2.14

MgP3F: relaxed, GGA-PBE.

## Properties
offset from the most stable computed form	0	meV/atom
space group	Pm-3m
size of the total moment	0.000	μB/atom

Cell lengths 4.3749, 4.3749, 4.3749 Å; angles 90.00, 90.00, 90.00 degrees
Last column: nearest neighbours and their distance in Å.
Fractional coordinates of all 5 atoms:
Mg1 0.0000 0.0000 0.0000  12 P 3.09
P1 0.0000 0.5000 0.5000  2 F 2.19
P2 0.5000 0.0000 0.5000  2 F 2.19
P3 0.5000 0.5000 0.0000  2 F 2.19
F1 0.5000 0.5000 0.5000  6 P 2.19

MgPS2F: relaxed, GGA-PBE.

## Properties
offset from the most stable computed form	1192	meV/atom
space group	P4/mmm
size of the total moment	0.000	μB/atom

Cell lengths 4.6215, 4.6215, 5.0166 Å; angles 90.00, 90.00, 90.00 degrees
Last column: nearest neighbours and their distance in Å.
Fractional coordinates of all 5 atoms:
Mg1 0.0000 0.0000 0.0000  4 S 2.31, 2 P 2.51
P1 0.0000 0.0000 0.5000  2 Mg 2.51
S1 0.0000 0.5000 0.0000  2 Mg 2.31
S2 0.5000 0.0000 0.0000  2 Mg 2.31
F1 0.5000 0.5000 0.5000  4 P 3.27, 8 S 3.41

MgPS2F: relaxed, GGA-PBE.

## Properties
offset from the most stable computed form	0	meV/atom
space group	P4/mmm
size of the total moment	0.000	μB/atom

Cell lengths 4.7095, 4.7095, 3.7959 Å; angles 90.00, 90.00, 90.00 degrees
Last column: nearest neighbours and their distance in Å.
Fractional coordinates of all 5 atoms:
Mg1 0.0000 0.0000 0.0000  8 S 3.02, 4 F 3.33
P1 0.5000 0.5000 0.5000  2 F 1.90
S1 0.0000 0.5000 0.5000  2 P 2.35
S2 0.5000 0.0000 0.5000  2 P 2.35
F1 0.5000 0.5000 0.0000  2 P 1.90

MgPSF2: relaxed, GGA-PBE.

## Properties
space group	P4/mmm
size of the total moment	0.000	μB/atom

Cell lengths 3.9993, 3.9993, 5.1327 Å; angles 90.00, 90.00, 90.00 degrees
Last column: nearest neighbours and their distance in Å.
Fractional coordinates of all 5 atoms:
Mg1 0.0000 0.0000 0.0000  4 S 2.83
P1 0.5000 0.5000 0.5000  4 F 2.00
S1 0.5000 0.5000 0.0000  2 P 2.57, 4 Mg 2.83
F1 0.0000 0.5000 0.5000  2 P 2.00
F2 0.5000 0.0000 0.5000  2 P 2.00

MgPS2F: relaxed, GGA-PBE.

## Properties
offset from the most stable computed form	881	meV/atom
space group	P4/mmm
size of the total moment	0.000	μB/atom

Cell lengths 4.9915, 4.9915, 3.6539 Å; angles 90.00, 90.00, 90.00 degrees
Last column: nearest neighbours and their distance in Å.
Fractional coordinates of all 5 atoms:
Mg1 0.0000 0.0000 0.0000  8 S 3.09
P1 0.5000 0.5000 0.0000  2 F 1.83
S1 0.0000 0.5000 0.5000  2 F 2.50
S2 0.5000 0.0000 0.5000  2 F 2.50
F1 0.5000 0.5000 0.5000  2 P 1.83

Mg2SbPF: relaxed, GGA-PBE.

## Properties
space group	P4/mmm
size of the total moment	0.000	μB/atom

Cell lengths 4.1204, 4.1204, 5.7405 Å; angles 90.00, 90.00, 90.00 degrees
Last column: nearest neighbours and their distance in Å.
Fractional coordinates of all 5 atoms:
Mg1 0.0000 0.5000 0.0000  2 F 2.06
Mg2 0.5000 0.0000 0.0000  2 F 2.06
Sb1 0.0000 0.0000 0.5000  4 P 2.91
P1 0.5000 0.5000 0.5000  2 F 2.87, 4 Sb 2.91
F1 0.5000 0.5000 0.0000  4 Mg 2.06

Mg2ScPF: relaxed, GGA-PBE.

## Properties
space group	P4/mmm
size of the total moment	0.188	μB/atom

Cell lengths 4.8879, 4.8879, 4.9485 Å; angles 90.00, 90.00, 90.00 degrees
Last column: nearest neighbours and their distance in Å.
Fractional coordinates of all 5 atoms:
Mg1 0.0000 0.5000 0.0000  2 P 2.44
Mg2 0.5000 0.0000 0.0000  2 P 2.44
Sc1 0.0000 0.0000 0.5000  2 P 2.47
P1 0.0000 0.0000 0.0000  4 Mg 2.44, 2 Sc 2.47
F1 0.5000 0.5000 0.5000  4 Sc 3.46, 8 Mg 3.48

MgZnPF2: relaxed, GGA-PBE.

## Properties
space group	P4/mmm
size of the total moment	0.120	μB/atom

Cell lengths 3.6806, 3.6806, 8.0192 Å; angles 90.00, 90.00, 90.00 degrees
Last column: nearest neighbours and their distance in Å.
Fractional coordinates of all 5 atoms:
Mg1 0.0000 0.0000 0.0000  4 F 1.84
Zn1 0.0000 0.0000 0.5000  4 P 2.60
P1 0.5000 0.5000 0.5000  4 Zn 2.60
F1 0.0000 0.5000 0.0000  2 Mg 1.84
F2 0.5000 0.0000 0.0000  2 Mg 1.84

Mg2PaF8: relaxed, GGA-PBE.

## Properties
offset from the most stable computed form	0	meV/atom
space group	I422
size of the total moment	0.091	μB/atom

Cell lengths 6.8667, 6.8667, 6.8667 Å; angles 120.01, 120.01, 89.99 degrees
Last column: nearest neighbours and their distance in Å.
Fractional coordinates of all 11 atoms:
Mg1 0.2500 0.7500 0.5000  4 F 1.89
Mg2 0.7500 0.2500 0.5000  4 F 1.89
Pa1 0.0000 0.0000 0.0000  8 F 2.32
F1 0.1368 0.8618 0.7233  1 Mg 1.89
F2 0.1382 0.8632 0.2767  1 Mg 1.89
F3 0.1385 0.4135 0.2767  1 Mg 1.89
F4 0.4135 0.1368 0.2750  1 Mg 1.89
F5 0.5865 0.8615 0.7233  1 Mg 1.89
F6 0.8615 0.1382 0.2750  1 Mg 1.89
F7 0.8618 0.1385 0.7250  1 Mg 1.89
F8 0.8632 0.5865 0.7250  1 Mg 1.89

Mg2PaF8: relaxed, GGA-PBE.

## Properties
offset from the most stable computed form	77	meV/atom
space group	C2/m
size of the total moment	0.091	μB/atom

Cell lengths 5.7810, 5.7810, 3.9102 Å; angles 96.84, 96.84, 111.50 degrees
Last column: nearest neighbours and their distance in Å.
Fractional coordinates of all 11 atoms:
Mg1 0.1750 0.8250 0.0000  8 F 2.10-2.21
Mg2 0.8250 0.1750 0.0000  8 F 2.10-2.21
Pa1 0.5000 0.5000 0.5000  8 F 2.34-2.56
F1 0.1347 0.1347 0.3073  2 Mg 2.14, 1 Pa 2.34
F2 0.1844 0.4445 0.9206  2 Mg 2.18-2.21, 1 F 2.36
F3 0.2550 0.7450 0.5000  2 Mg 2.10, 1 Pa 2.34
F4 0.4445 0.1844 0.9206  2 Mg 2.18-2.21, 1 F 2.36
F5 0.5555 0.8156 0.0794  2 Mg 2.18-2.21, 1 F 2.36
F6 0.7450 0.2550 0.5000  2 Mg 2.10, 1 Pa 2.34
F7 0.8156 0.5555 0.0794  2 Mg 2.18-2.21, 1 F 2.36
F8 0.8653 0.8653 0.6927  2 Mg 2.14, 1 Pa 2.34

Mg2PaF11: relaxed, GGA-PBE.

## Properties
space group	Ibam
size of the total moment	0.000	μB/atom

Cell lengths 8.3056, 8.3056, 8.3056 Å; angles 124.51, 105.13, 99.93 degrees
Last column: nearest neighbours and their distance in Å.
Fractional coordinates of all 28 atoms:
Mg1 0.2471 0.2461 0.4932  6 F 1.98-2.10
Mg2 0.2529 0.7461 0.9990  6 F 1.98-2.10
Mg3 0.7471 0.2539 0.0010  6 F 1.98-2.10
Mg4 0.7529 0.7539 0.5068  6 F 1.98-2.10
Pa1 0.2500 0.7500 0.5000  8 F 2.22
Pa2 0.7500 0.2500 0.5000  8 F 2.22
F1 0.0000 0.0000 0.0000  2 F 1.71
F2 0.0003 0.4693 0.2085  1 Mg 1.98
F3 0.9997 0.5307 0.7915  1 Mg 1.98
F4 0.0063 0.7994 0.5462  1 Mg 1.98
F5 0.1697 0.9951 0.1648  1 F 1.71
F6 0.2393 0.0307 0.5311  1 Mg 1.98
F7 0.2469 0.7006 0.2070  1 Mg 1.98
F8 0.2531 0.4601 0.4538  1 Mg 1.98
F9 0.2607 0.7918 0.7915  1 Mg 1.98
F10 0.3303 0.4951 0.8254  1 F 1.71
F11 0.4937 0.0399 0.7930  1 Mg 1.98
F12 0.5003 0.2918 0.5311  1 Mg 1.98
F13 0.5000 0.5000 0.0000  2 F 1.71
F14 0.4997 0.7082 0.4689  1 Mg 1.98
F15 0.5063 0.9601 0.2070  1 Mg 1.98
F16 0.6697 0.5049 0.1746  1 F 1.71
F17 0.7393 0.2082 0.2085  1 Mg 1.98
F18 0.7469 0.5399 0.5462  1 Mg 1.98
F19 0.7531 0.2994 0.7930  1 Mg 1.98
F20 0.7607 0.9693 0.4689  1 Mg 1.98
F21 0.8303 0.0049 0.8352  1 F 1.71
F22 0.9937 0.2006 0.4538  1 Mg 1.98

MgPaF: relaxed, GGA-PBE.

## Properties
space group	Amm2
size of the total moment	0.074	μB/atom

Cell lengths 15.1802, 3.0523, 3.0523 Å; angles 59.90, 90.00, 90.00 degrees
Last column: nearest neighbours and their distance in Å.
Fractional coordinates of all 6 atoms:
Mg1 0.0000 0.0000 0.0000  6 Mg 3.05, 6 Pa 3.36
Mg2 0.5000 0.1345 0.1345  6 F 2.10
Pa1 0.1885 0.3340 0.3340  6 Pa 3.05, 3 Mg 3.36
Pa2 0.8115 0.3340 0.3340  6 Pa 3.05, 3 Mg 3.36
F1 0.4243 0.8016 0.8016  3 Mg 2.10, 1 F 2.30
F2 0.5757 0.8016 0.8016  3 Mg 2.10, 1 F 2.30

The following formation energy from raw total energies values (in meV/atom) correspond, in order, to the records above: -231 -946 881 -1425 -1327 -1795 -111 -1095 422 514 -678 -1019 203 -589 -506 -1578 -3570 -3492 -3118 -1268.
The following calculated total energy values (in eV/atom) correspond, in order, to the records above: -3.799 -4.518 -3.058 -4.042 -3.944 -4.319 -3.683 -3.619 -3.517 -2.912 -4.104 -3.994 -3.223 -3.508 -3.866 -3.982 -6.084 -6.006 -5.494 -5.589.